1.
The following is a PBE calculation of a geometry-optimized NaLa3Pr2Se6 structure, from Alexandria.

The structure belongs to space group C2/m (No. 12); the cell edges are 18.687, 4.298 and 8.564 Å and the angles 90.00°, 102.50° and 90.00°. The inequivalent atoms are Na at (0.000, 0.000, 0.000), La at (0.000, 0.000, 0.500), La at (0.165, 0.500, 0.831), Pr at (0.170, 0.500, 0.342), Se at (0.002, 0.500, 0.249), Se at (0.165, 0.000, 0.585) and Se at (0.166, 0.000, 0.085).

The uncorrected formation energy comes out at -1.8734 eV per atom. As for the calculated density: 5.9 g/cm3.



2.
The following is a PBE calculation of a geometry-optimized NaLa2PrSe4 structure, from Alexandria.

The structure belongs to space group P2/m (No. 10); the cell edges are 7.376, 4.295 and 7.498 Å and the angles 90.00°, 109.49° and 90.00°. The inequivalent atoms are Na at (0.000, 0.000, 0.000), La at (0.500, 0.000, 0.500), La at (0.500, 0.500, 0.000), Pr at (0.000, 0.500, 0.500), Se at (0.247, 0.000, 0.752) and Se at (0.249, 0.500, 0.250).

The uncorrected formation energy comes out at -1.8375 eV per atom. As for the calculated density: 5.6 g/cm3.



3.
The following is a PBE calculation of a geometry-optimized NaLa3Pr4Se8 structure, from Alexandria.

The structure belongs to space group C2/m (No. 12); the cell edges are 14.813, 8.551 and 8.587 Å and the angles 90.00°, 125.11° and 90.00°. The inequivalent atoms are Na at (0.000, 0.000, 0.000), La at (0.000, 0.500, 0.000), La at (0.250, 0.250, 0.000), Pr at (0.000, 0.000, 0.500), Pr at (0.000, 0.500, 0.500), Pr at (0.250, 0.250, 0.500), Se at (0.001, 0.247, 0.249), Se at (0.248, 0.000, 0.250) and Se at (0.249, 0.000, 0.749).

The uncorrected formation energy comes out at -1.8676 eV per atom. As for the calculated density: 6.1 g/cm3.



4.
The following is a PBE calculation of a geometry-optimized NaLa2Pr3Se6 structure, from Alexandria.

The structure belongs to space group C2/m (No. 12); the cell edges are 18.713, 4.271 and 8.592 Å and the angles 90.00°, 103.68° and 90.00°. The inequivalent atoms are Na at (0.000, 0.000, 0.000), La at (0.166, 0.500, 0.334), Pr at (0.000, 0.000, 0.500), Pr at (0.164, 0.500, 0.827), Se at (0.000, 0.500, 0.249), Se at (0.166, 0.000, 0.080) and Se at (0.166, 0.000, 0.583).

The uncorrected formation energy comes out at -1.8507 eV per atom. As for the calculated density: 6.0 g/cm3.



5.
The following is a PBE calculation of a geometry-optimized Na2LaPrSe4 structure, from Alexandria.

The structure belongs to space group P2/m (No. 10); the cell edges are 7.421, 4.352 and 7.536 Å and the angles 90.00°, 109.75° and 90.00°. The inequivalent atoms are Na at (0.000, 0.000, 0.000), Na at (0.000, 0.500, 0.500), La at (0.500, 0.000, 0.500), Pr at (0.500, 0.500, 0.000), Se at (0.262, 0.000, 0.756) and Se at (0.262, 0.500, 0.252).

The uncorrected formation energy comes out at -1.7168 eV per atom. As for the calculated density: 4.7 g/cm3.



6.
The following is a PBE calculation of a geometry-optimized Na3La2PrSe6 structure, from Alexandria.

The structure belongs to space group C2/m (No. 12); the cell edges are 18.788, 4.361 and 8.600 Å and the angles 90.00°, 102.06° and 90.00°. The inequivalent atoms are Na at (0.000, 0.000, 0.000), Na at (0.166, 0.500, 0.332), La at (0.166, 0.500, 0.832), Pr at (0.000, 0.000, 0.500), Se at (0.002, 0.500, 0.742), Se at (0.163, 0.000, 0.588) and Se at (0.169, 0.000, 0.076).

The uncorrected formation energy comes out at -1.7299 eV per atom. As for the calculated density: 4.6 g/cm3.



7.
The following is a PBE calculation of a geometry-optimized NaLaPrSi structure, from Alexandria.

The structure belongs to space group F-43m (No. 216); the cell edges are 7.545, 7.545 and 7.545 Å and the angles 90.00°, 90.00° and 90.00°. The inequivalent atoms are Na at (0.000, 0.000, 0.000), La at (0.250, 0.250, 0.750), Pr at (0.250, 0.250, 0.250) and Si at (0.000, 0.000, 0.500).

The uncorrected formation energy comes out at -0.1907 eV per atom. As for the calculated density: 5.1 g/cm3.



8.
The following is a PBE calculation of a geometry-optimized Na3LaPr2Te6 structure, from Alexandria.

The structure belongs to space group C2/m (No. 12); the cell edges are 7.975, 13.813 and 7.999 Å and the angles 90.00°, 109.41° and 90.00°. The inequivalent atoms are Na at (0.000, 0.000, 0.000), Na at (0.000, 0.333, 0.000), La at (0.000, 0.500, 0.500), Pr at (0.000, 0.167, 0.500), Te at (0.245, 0.000, 0.741) and Te at (0.248, 0.332, 0.741).

The uncorrected formation energy comes out at -1.3558 eV per atom. As for the calculated density: 5.0 g/cm3.



9.
The following is a PBE calculation of a geometry-optimized NaLa3Pr4Te8 structure, from Alexandria.

The structure belongs to space group C2/m (No. 12); the cell edges are 15.761, 9.100 and 9.128 Å and the angles 90.00°, 125.14° and 90.00°. The inequivalent atoms are Na at (0.000, 0.000, 0.000), La at (0.000, 0.500, 0.000), La at (0.250, 0.250, 0.000), Pr at (0.000, 0.000, 0.500), Pr at (0.000, 0.500, 0.500), Pr at (0.250, 0.250, 0.500), Te at (0.001, 0.247, 0.249), Te at (0.249, 0.000, 0.250) and Te at (0.249, 0.000, 0.748).

The uncorrected formation energy comes out at -1.4807 eV per atom. As for the calculated density: 6.3 g/cm3.



10.
The following is a PBE calculation of a geometry-optimized NaLaPrTe3 structure, from Alexandria.

The structure belongs to space group P2_1/m (No. 11); the cell edges are 9.223, 4.474 and 10.045 Å and the angles 90.00°, 105.08° and 90.00°. The inequivalent atoms are Na at (0.095, 0.250, 0.087), La at (0.196, 0.250, 0.728), Pr at (0.334, 0.750, 0.346), Te at (0.087, 0.250, 0.381), Te at (0.255, 0.750, 0.990) and Te at (0.430, 0.750, 0.676).

The uncorrected formation energy comes out at -1.2810 eV per atom. As for the calculated density: 5.7 g/cm3.



11.
The following is a PBE calculation of a geometry-optimized NaLa3Pr2Te6 structure, from Alexandria.

The structure belongs to space group C2/m (No. 12); the cell edges are 19.873, 4.566 and 9.115 Å and the angles 90.00°, 102.58° and 90.00°. The inequivalent atoms are Na at (0.000, 0.000, 0.000), La at (0.000, 0.000, 0.500), La at (0.165, 0.500, 0.831), Pr at (0.170, 0.500, 0.343), Te at (0.002, 0.500, 0.247), Te at (0.165, 0.000, 0.585) and Te at (0.166, 0.000, 0.086).

The uncorrected formation energy comes out at -1.4906 eV per atom. As for the calculated density: 6.1 g/cm3.



12.
The following is a PBE calculation of a geometry-optimized NaLa2Pr3Te6 structure, from Alexandria.

The structure belongs to space group C2/m (No. 12); the cell edges are 19.901, 4.538 and 9.149 Å and the angles 90.00°, 103.72° and 90.00°. The inequivalent atoms are Na at (0.000, 0.000, 0.000), La at (0.167, 0.500, 0.335), Pr at (0.000, 0.000, 0.500), Pr at (0.165, 0.500, 0.826), Te at (0.000, 0.500, 0.248), Te at (0.166, 0.000, 0.079) and Te at (0.166, 0.000, 0.583).

The uncorrected formation energy comes out at -1.4676 eV per atom. As for the calculated density: 6.2 g/cm3.